Compound: BaLiI2N
Source: Alexandria
Functional: PBE
Structure: relaxed

* raw formation energy: -0.15 eV per atom
* relative energy among the computed polymorphs: 266 meV/atom
* raw total energy: -3.201 eV per atom
* ρ: 2.8 g/cm³

Geometry as CIF:
```
data_BaLiI2N
_space_group_name_H-M_alt 'P 1'
_space_group_IT_number 1
_cell_length_a 6.820
_cell_length_b 6.820
_cell_length_c 5.186
_cell_angle_alpha 90.00
_cell_angle_beta 90.00
_cell_angle_gamma 90.00
loop_
_space_group_symop_operation_xyz
'x,y,z'
loop_
_atom_site_label
_atom_site_type_symbol
_atom_site_fract_x
_atom_site_fract_y
_atom_site_fract_z
N1 N 0.000 0.000 0.500
Ba1 Ba 0.000 0.000 0.000
I1 I 0.000 0.500 0.000
I2 I 0.500 0.000 0.000
Li1 Li 0.500 0.500 0.500
```

***

Compound: NaLa3Os
Source: Alexandria
Functional: PBE
Structure: relaxed

* relative energy among the computed polymorphs: 381 meV/atom
* raw total energy: -5.176 eV per atom
* ρ: 6.5 g/cm³
* energy of formation from the pure elements: 0.29 eV per atom

Geometry as CIF:
```
data_NaLa3Os
_space_group_name_H-M_alt 'P 1'
_space_group_IT_number 1
_cell_length_a 5.505
_cell_length_b 12.186
_cell_length_c 5.531
_cell_angle_alpha 90.00
_cell_angle_beta 60.16
_cell_angle_gamma 90.00
loop_
_space_group_symop_operation_xyz
'x,y,z'
loop_
_atom_site_label
_atom_site_type_symbol
_atom_site_fract_x
_atom_site_fract_y
_atom_site_fract_z
Os1 Os 0.335 0.250 0.829
Os2 Os 0.665 0.750 0.171
La1 La 0.334 0.461 0.832
La2 La 0.334 0.039 0.832
La3 La 0.666 0.961 0.168
La4 La 0.999 0.750 0.503
La5 La 0.666 0.539 0.168
La6 La 0.001 0.250 0.497
Na1 Na 0.669 0.250 0.162
Na2 Na 0.331 0.750 0.838
```

***

Compound: Cs3Na2NdCl8
Source: Alexandria
Functional: PBE
Structure: relaxed

* raw formation energy: -1.98 eV per atom
* raw total energy: -3.747 eV per atom
* ρ: 2.7 g/cm³

Geometry as CIF:
```
data_Cs3Na2NdCl8
_space_group_name_H-M_alt 'P 1'
_space_group_IT_number 1
_cell_length_a 7.745
_cell_length_b 7.745
_cell_length_c 10.272
_cell_angle_alpha 90.00
_cell_angle_beta 90.00
_cell_angle_gamma 120.00
loop_
_space_group_symop_operation_xyz
'x,y,z'
loop_
_atom_site_label
_atom_site_type_symbol
_atom_site_fract_x
_atom_site_fract_y
_atom_site_fract_z
Nd1 Nd 0.000 0.000 0.500
Cl1 Cl 0.667 0.333 0.055
Cl2 Cl 0.333 0.667 0.945
Cl3 Cl 0.164 0.328 0.341
Cl4 Cl 0.164 0.836 0.341
Cl5 Cl 0.836 0.672 0.659
Cl6 Cl 0.836 0.164 0.659
Cl7 Cl 0.328 0.164 0.659
Cl8 Cl 0.672 0.836 0.341
Cs1 Cs 0.000 0.000 0.000
Cs2 Cs 0.333 0.667 0.631
Cs3 Cs 0.667 0.333 0.369
Na1 Na 0.333 0.667 0.192
Na2 Na 0.667 0.333 0.808
```

***

Compound: Sc3SeBr7
Source: Alexandria
Functional: PBE
Structure: relaxed

* raw formation energy: -1.70 eV per atom
* raw total energy: -4.804 eV per atom
* ρ: 3.6 g/cm³

Geometry as CIF:
```
data_Sc3SeBr7
_space_group_name_H-M_alt 'P 1'
_space_group_IT_number 1
_cell_length_a 7.766
_cell_length_b 7.766
_cell_length_c 7.907
_cell_angle_alpha 75.91
_cell_angle_beta 60.59
_cell_angle_gamma 60.00
loop_
_space_group_symop_operation_xyz
'x,y,z'
loop_
_atom_site_label
_atom_site_type_symbol
_atom_site_fract_x
_atom_site_fract_y
_atom_site_fract_z
Se1 Se 0.791 0.587 0.831
Br1 Br 0.351 0.919 0.379
Br2 Br 0.290 0.081 0.822
Br3 Br 0.853 0.909 0.386
Br4 Br 0.854 0.424 0.385
Br5 Br 0.337 0.424 0.385
Br6 Br 0.807 0.081 0.822
Br7 Br 0.290 0.598 0.821
Sc1 Sc 0.061 0.266 0.613
Sc2 Sc 0.061 0.746 0.613
Sc3 Sc 0.580 0.746 0.613
```

***

- Look up the ρ of the third one.
  2.7 g/cm³

***

What did the second record say?
Compound: NaLa3Os
Source: Alexandria
Functional: PBE
Structure: relaxed

* relative energy among the computed polymorphs: 381 meV/atom
* raw total energy: -5.176 eV per atom
* ρ: 6.5 g/cm³
* energy of formation from the pure elements: 0.29 eV per atom

Geometry as CIF:
```
data_NaLa3Os
_space_group_name_H-M_alt 'P 1'
_space_group_IT_number 1
_cell_length_a 5.505
_cell_length_b 12.186
_cell_length_c 5.531
_cell_angle_alpha 90.00
_cell_angle_beta 60.16
_cell_angle_gamma 90.00
loop_
_space_group_symop_operation_xyz
'x,y,z'
loop_
_atom_site_label
_atom_site_type_symbol
_atom_site_fract_x
_atom_site_fract_y
_atom_site_fract_z
Os1 Os 0.335 0.250 0.829
Os2 Os 0.665 0.750 0.171
La1 La 0.334 0.461 0.832
La2 La 0.334 0.039 0.832
La3 La 0.666 0.961 0.168
La4 La 0.999 0.750 0.503
La5 La 0.666 0.539 0.168
La6 La 0.001 0.250 0.497
Na1 Na 0.669 0.250 0.162
Na2 Na 0.331 0.750 0.838
```

***

Copy entry 3 word for word.
Compound: Cs3Na2NdCl8
Source: Alexandria
Functional: PBE
Structure: relaxed

* raw formation energy: -1.98 eV per atom
* raw total energy: -3.747 eV per atom
* ρ: 2.7 g/cm³

Geometry as CIF:
```
data_Cs3Na2NdCl8
_space_group_name_H-M_alt 'P 1'
_space_group_IT_number 1
_cell_length_a 7.745
_cell_length_b 7.745
_cell_length_c 10.272
_cell_angle_alpha 90.00
_cell_angle_beta 90.00
_cell_angle_gamma 120.00
loop_
_space_group_symop_operation_xyz
'x,y,z'
loop_
_atom_site_label
_atom_site_type_symbol
_atom_site_fract_x
_atom_site_fract_y
_atom_site_fract_z
Nd1 Nd 0.000 0.000 0.500
Cl1 Cl 0.667 0.333 0.055
Cl2 Cl 0.333 0.667 0.945
Cl3 Cl 0.164 0.328 0.341
Cl4 Cl 0.164 0.836 0.341
Cl5 Cl 0.836 0.672 0.659
Cl6 Cl 0.836 0.164 0.659
Cl7 Cl 0.328 0.164 0.659
Cl8 Cl 0.672 0.836 0.341
Cs1 Cs 0.000 0.000 0.000
Cs2 Cs 0.333 0.667 0.631
Cs3 Cs 0.667 0.333 0.369
Na1 Na 0.333 0.667 0.192
Na2 Na 0.667 0.333 0.808
```